[1]
Compound: Ba2NiSe
Source: the Alexandria database
Functional: GGA-PBE
Structure: relaxed

a = 4.600 Å, b = 4.600 Å, c = 23.080 Å
α = 90.00°, β = 90.00°, γ = 120.00°
Element x y z (fractional)
Ba 0.000 0.000 0.249
Ba 0.000 0.000 0.751
Ba 0.333 0.667 0.418
Ba 0.333 0.667 0.915
Ba 0.667 0.333 0.085
Ba 0.667 0.333 0.582
Ni 0.000 0.000 0.500
Ni 0.333 0.667 0.167
Ni 0.667 0.333 0.833
Se 0.000 0.000 0.000
Se 0.333 0.667 0.667
Se 0.667 0.333 0.333

The density of states at the Fermi level is 11.58 states/eV per cell. For the total energy, the calculation gives -16.30 eV per formula unit. The value obtained for the calculated volume is 35.25 Å³/atom.


[2]
Compound: BaNi3Se
Source: the Alexandria database
Functional: GGA-PBE
Structure: relaxed

a = 4.898 Å, b = 4.898 Å, c = 4.898 Å
α = 90.00°, β = 90.00°, γ = 90.00°
Element x y z (fractional)
Ba 0.000 0.000 0.000
Ni 0.000 0.000 0.500
Ni 0.000 0.500 0.000
Ni 0.500 0.000 0.000
Se 0.500 0.500 0.500

The density of states at the Fermi level is 4.51 states/eV per cell. For the total energy, the calculation gives -14.27 eV per formula unit. The value obtained for the calculated volume is 23.51 Å³/atom.


[3]
Compound: Ba3NiSe
Source: the Alexandria database
Functional: GGA-PBE
Structure: relaxed

a = 5.835 Å, b = 5.835 Å, c = 5.835 Å
α = 90.00°, β = 90.00°, γ = 90.00°
Element x y z (fractional)
Ba 0.000 0.000 0.500
Ba 0.000 0.500 0.000
Ba 0.500 0.000 0.000
Ni 0.000 0.000 0.000
Se 0.500 0.500 0.500

The density of states at the Fermi level is 6.16 states/eV per cell. For the total energy, the calculation gives -16.93 eV per formula unit. The value obtained for the calculated volume is 39.74 Å³/atom.


[4]
Compound: Ba2NiSe
Source: the Alexandria database
Functional: GGA-PBE
Structure: relaxed

a = 8.150 Å, b = 8.150 Å, c = 9.002 Å
α = 90.00°, β = 90.00°, γ = 90.00°
Element x y z (fractional)
Ba 0.234 0.250 0.125
Ba 0.250 0.734 0.375
Ba 0.250 0.766 0.875
Ba 0.266 0.250 0.625
Ba 0.734 0.750 0.625
Ba 0.750 0.234 0.875
Ba 0.750 0.266 0.375
Ba 0.766 0.750 0.125
Ni 0.000 0.000 0.000
Ni 0.000 0.500 0.250
Ni 0.500 0.000 0.750
Ni 0.500 0.500 0.500
Se 0.000 0.000 0.500
Se 0.000 0.500 0.750
Se 0.500 0.000 0.250
Se 0.500 0.500 0.000

The density of states at the Fermi level is 0.00 states/eV per cell. For the total energy, the calculation gives -15.55 eV per formula unit. The value obtained for the calculated volume is 37.37 Å³/atom.


[5]
Compound: BaNi3Se
Source: the Alexandria database
Functional: GGA-PBE
Structure: relaxed

a = 4.592 Å, b = 4.592 Å, c = 4.592 Å
α = 90.00°, β = 90.00°, γ = 90.00°
Element x y z (fractional)
Ba 0.000 0.000 0.000
Ni 0.000 0.500 0.500
Ni 0.500 0.000 0.500
Ni 0.500 0.500 0.000
Se 0.500 0.500 0.500

The density of states at the Fermi level is 4.90 states/eV per cell. For the total energy, the calculation gives -22.83 eV per formula unit. The value obtained for the calculated volume is 19.36 Å³/atom.


[6]
Compound: Ba2NiSe
Source: the Alexandria database
Functional: GGA-PBE
Structure: relaxed

a = 4.636 Å, b = 4.636 Å, c = 6.550 Å
α = 90.00°, β = 90.00°, γ = 90.00°
Element x y z (fractional)
Ba 0.000 0.000 0.000
Ba 0.500 0.500 0.500
Ni 0.000 0.000 0.500
Se 0.500 0.500 0.000

For the total energy, the calculation gives -16.34 eV per formula unit. The value obtained for the calculated volume is 35.19 Å³/atom.


[7]
Compound: Ba2NiSe
Source: the Alexandria database
Functional: GGA-PBE
Structure: relaxed

a = 7.717 Å, b = 7.717 Å, c = 7.717 Å
α = 90.00°, β = 90.00°, γ = 90.00°
Element x y z (fractional)
Ba 0.000 0.000 0.000
Ba 0.000 0.500 0.500
Ba 0.250 0.250 0.250
Ba 0.250 0.750 0.750
Ba 0.500 0.000 0.500
Ba 0.500 0.500 0.000
Ba 0.750 0.250 0.750
Ba 0.750 0.750 0.250
Ni 0.000 0.000 0.500
Ni 0.000 0.500 0.000
Ni 0.500 0.000 0.000
Ni 0.500 0.500 0.500
Se 0.250 0.250 0.750
Se 0.250 0.750 0.250
Se 0.750 0.250 0.250
Se 0.750 0.750 0.750

The density of states at the Fermi level is 3.22 states/eV per cell. For the total energy, the calculation gives -13.77 eV per formula unit. The value obtained for the calculated volume is 28.72 Å³/atom.


[8]
Compound: Ba4NiSe
Source: the Alexandria database
Functional: GGA-PBE
Structure: relaxed

a = 7.021 Å, b = 7.021 Å, c = 7.021 Å
α = 60.00°, β = 60.00°, γ = 60.00°
Element x y z (fractional)
Ba 0.125 0.125 0.125
Ba 0.125 0.125 0.624
Ba 0.125 0.624 0.125
Ba 0.624 0.125 0.125
Ni 0.750 0.750 0.750
Se 0.500 0.500 0.500

The density of states at the Fermi level is 7.02 states/eV per cell. For the total energy, the calculation gives -14.11 eV per formula unit. The value obtained for the calculated volume is 40.79 Å³/atom.


no.,formation energy (no corrections) (meV per atom)
1,-797
2,1696
3,-379
4,-610
5,-15
6,-807
7,-164
8,474